The following is a DFT calculation (PBE+U) of a relaxed Co3TeO8 crystal.

```
Co3TeO8
1.0
6.032 0.000 0.000
-0.104 6.094 0.000
-0.086 -0.422 8.428
Co Te O
6 2 16
Cartesian
0.000 0.000 0.000
-0.095 2.836 4.214
1.430 1.423 2.117
3.016 0.000 0.000
2.921 2.836 4.214
4.413 4.249 6.311
1.420 4.261 6.310
4.423 1.411 2.117
-0.117 5.506 6.463
0.035 2.903 6.138
1.415 1.706 3.993
1.503 1.130 0.229
1.503 4.291 8.266
1.587 4.216 4.359
2.784 5.652 6.527
2.900 2.707 2.301
2.942 2.965 6.127
3.059 0.020 1.901
4.256 1.456 4.068
4.339 1.381 0.162
4.340 4.542 8.199
4.427 3.966 4.434
5.807 2.769 2.290
5.959 0.166 1.965
```

Calculated values
Total magnetization   4.000 μB per formula unit
Symmetry   P-1
Energy   -5.652 eV per atom